Computed, not measured: an optimized crystal structure of LuMgTaFe at the PBE level of DFT.

Values from the calculation:
The value obtained for the uncorrected energy is -6.282 eV per atom. Its total magnetic moment is 0.09 μB/f.u. The distance to the lowest polymorph of the same formula is 0 meV per atom.

a b c (Å): 6.617 6.617 6.617
angles (deg): 90.00 90.00 90.00
Space group F-43m (No. 216)
Symmetry-distinct sites (fractional):
Lu  0.000  0.000  0.000 x4
Mg  0.250  0.250  0.750 x4
Ta  0.000  0.000  0.500 x4
Fe  0.250  0.250  0.250 x4


Computed, not measured: an optimized crystal structure of LuMgTlFe at the PBE level of DFT.

Values from the calculation:
The value obtained for the uncorrected energy is -3.996 eV per atom. Its total magnetic moment is 2.39 μB/f.u. The distance to the lowest polymorph of the same formula is 0 meV per atom.

a b c (Å): 6.895 6.895 6.895
angles (deg): 90.00 90.00 90.00
Space group F-43m (No. 216)
Symmetry-distinct sites (fractional):
Lu  0.000  0.000  0.000 x4
Mg  0.250  0.250  0.750 x4
Tl  0.250  0.250  0.250 x4
Fe  0.000  0.000  0.500 x4


Computed, not measured: an optimized crystal structure of LuMgTlFe at the PBE level of DFT.

Values from the calculation:
The value obtained for the uncorrected energy is -3.978 eV per atom. Its total magnetic moment is 1.97 μB/f.u. The distance to the lowest polymorph of the same formula is 18 meV per atom.

a b c (Å): 6.833 6.833 6.833
angles (deg): 90.00 90.00 90.00
Space group F-43m (No. 216)
Symmetry-distinct sites (fractional):
Lu  0.000  0.000  0.000 x4
Mg  0.250  0.250  0.250 x4
Tl  0.000  0.000  0.500 x4
Fe  0.250  0.250  0.750 x4


Computed, not measured: an optimized crystal structure of LuFeMo2 at the PBE level of DFT.

Values from the calculation:
The value obtained for the uncorrected energy is -8.408 eV per atom. Its total magnetic moment is 0.59 μB/f.u. The value obtained for the formation enthalpy at 0 K is 224 meV/atom.

a b c (Å): 6.359 6.359 6.359
angles (deg): 90.00 90.00 90.00
Space group F-43m (No. 216)
Symmetry-distinct sites (fractional):
Lu  0.000  0.000  0.000 x4
Fe  0.250  0.250  0.250 x4
Mo  0.000  0.000  0.500 x4
Mo  0.250  0.250  0.750 x4